{"formula": "Ag7NO8", "functional": "GGA-PBE", "state": "optimized geometry", "formation_energy_uncorrected_ev_per_fu": 12.975, "magnetic_moment_mub_per_cell": 12.02, "rho_g_cm3": 6.0, "cell": [[0.741, -3.328, 6.189], [-5.261, -3.987, 2.519], [0.667, -7.032, 0.172]], "species": ["Ag", "Ag", "Ag", "O", "Ag", "O", "Ag", "O", "O", "O", "O", "Ag", "O", "N", "Ag", "O"], "fractional_positions": [[0.281, 0.281, 0.719], [0.000, 0.000, 0.000], [0.281, 0.719, 0.281], [0.133, 0.133, 0.133], [0.719, 0.281, 0.281], [0.602, 0.133, 0.133], [0.719, 0.281, 0.719], [0.867, 0.398, 0.867], [0.867, 0.867, 0.398], [0.867, 0.867, 0.867], [0.133, 0.602, 0.133], [0.719, 0.719, 0.281], [0.133, 0.133, 0.602], [0.500, 0.500, 0.500], [0.281, 0.719, 0.719], [0.398, 0.867, 0.867]]}

=====

{"formula": "Ag2NO", "functional": "GGA-PBE", "state": "optimized geometry", "formation_energy_uncorrected_ev_per_fu": 4.340, "magnetic_moment_mub_per_cell": 1.36, "polymorph_energy_ev_per_atom": 0.203, "rho_g_cm3": 8.4, "cell": [[0.000, 2.895, 2.895], [2.895, 0.000, 2.895], [2.895, 2.895, 0.000]], "species": ["O", "Ag", "N", "Ag"], "fractional_positions": [[0.500, 0.500, 0.500], [0.250, 0.250, 0.250], [0.000, 0.000, 0.000], [0.750, 0.750, 0.750]]}